(1)
Computed, not measured: a geometry-optimized BeCrHg3 structure at the PBE level of DFT.

Values from the calculation:
M_tot = 4.67 μB per formula unit
DFT total energy = -0.1370 Ry per atom
E above lowest polymorph = 417 meV/atom

Lattice parameters (Å, degrees): 5.363 5.363 5.363 90.00 90.00 90.00
Atoms (fractional coordinates):
Be  0.000  0.000  0.000
Cr  0.500  0.500  0.500
Hg  0.000  0.500  0.500
Hg  0.500  0.000  0.500
Hg  0.500  0.500  0.000



(2)
Computed, not measured: a geometry-optimized BeCrHg2 structure at the PBE level of DFT.

Values from the calculation:
M_tot = 3.82 μB per formula unit
DFT total energy = -0.2172 Ry per atom
E above lowest polymorph = 108 meV/atom

Lattice parameters (Å, degrees): 3.152 3.914 5.875 90.00 102.67 90.00
Atoms (fractional coordinates):
Be  0.000  0.000  0.000
Cr  0.000  0.000  0.500
Hg  0.375  0.500  0.236
Hg  0.625  0.500  0.764



(3)
Computed, not measured: a geometry-optimized BeCrHg structure at the PBE level of DFT.

Values from the calculation:
M_tot = 0.00 μB per formula unit
DFT total energy = -0.2799 Ry per atom
E above lowest polymorph = 283 meV/atom

Lattice parameters (Å, degrees): 2.783 2.783 6.523 90.00 90.00 120.00
Atoms (fractional coordinates):
Be  0.000  0.000  0.000
Cr  0.667  0.333  0.275
Hg  0.333  0.667  0.643



(4)
Computed, not measured: a geometry-optimized BeCrHg2 structure at the PBE level of DFT.

Values from the calculation:
M_tot = 3.39 μB per formula unit
DFT total energy = -0.2252 Ry per atom
E above lowest polymorph = 0 meV/atom

Lattice parameters (Å, degrees): 3.014 3.014 7.612 90.00 90.00 90.00
Atoms (fractional coordinates):
Be  0.000  0.000  0.000
Cr  0.500  0.500  0.173
Hg  0.000  0.000  0.438
Hg  0.500  0.500  0.779



(5)
Computed, not measured: a geometry-optimized BeCrHg structure at the PBE level of DFT.

Values from the calculation:
M_tot = 3.43 μB per formula unit
DFT total energy = -0.3007 Ry per atom
E above lowest polymorph = 0 meV/atom

Lattice parameters (Å, degrees): 4.214 4.214 2.992 90.00 90.00 120.00
Atoms (fractional coordinates):
Be  0.000  0.000  0.000
Cr  0.333  0.667  0.500
Hg  0.667  0.333  0.000



(6)
Computed, not measured: a geometry-optimized BeCrHg2 structure at the PBE level of DFT.

Values from the calculation:
M_tot = 3.51 μB per formula unit
DFT total energy = -0.2199 Ry per atom
E above lowest polymorph = 71 meV/atom

Lattice parameters (Å, degrees): 4.580 4.580 4.580 60.00 60.00 60.00
Atoms (fractional coordinates):
Be  0.000  0.000  0.000
Cr  0.500  0.500  0.500
Hg  0.250  0.250  0.250
Hg  0.750  0.750  0.750



(7)
Computed, not measured: a geometry-optimized BeCr2Hg structure at the PBE level of DFT.

Values from the calculation:
M_tot = 0.05 μB per formula unit
DFT total energy = -0.3948 Ry per atom
E above lowest polymorph = 152 meV/atom

Lattice parameters (Å, degrees): 4.554 4.554 4.471 109.20 109.20 40.50
Atoms (fractional coordinates):
Be  0.000  0.000  0.000
Cr  0.260  0.260  0.691
Cr  0.517  0.517  0.527
Hg  0.742  0.742  0.175



(8)
Computed, not measured: a geometry-optimized BeCr2Hg structure at the PBE level of DFT.

Values from the calculation:
M_tot = 0.10 μB per formula unit
DFT total energy = -0.3940 Ry per atom
E above lowest polymorph = 163 meV/atom

Lattice parameters (Å, degrees): 4.702 4.702 4.702 131.14 131.14 71.59
Atoms (fractional coordinates):
Be  0.000  0.000  0.000
Cr  0.250  0.750  0.500
Cr  0.500  0.500  0.000
Hg  0.750  0.250  0.500



(9)
Computed, not measured: a geometry-optimized BeCr2Hg structure at the PBE level of DFT.

Values from the calculation:
M_tot = 6.98 μB per formula unit
DFT total energy = -0.3806 Ry per atom
E above lowest polymorph = 345 meV/atom

Lattice parameters (Å, degrees): 4.373 4.373 3.248 90.00 90.00 90.00
Atoms (fractional coordinates):
Be  0.000  0.000  0.000
Cr  0.000  0.500  0.500
Cr  0.500  0.000  0.500
Hg  0.500  0.500  0.000



(10)
Computed, not measured: a geometry-optimized BeCr2Hg structure at the PBE level of DFT.

Values from the calculation:
M_tot = 0.00 μB per formula unit
DFT total energy = -0.3968 Ry per atom
E above lowest polymorph = 125 meV/atom

Lattice parameters (Å, degrees): 2.715 3.748 5.372 90.00 98.38 90.00
Atoms (fractional coordinates):
Be  0.000  0.000  0.000
Cr  0.410  0.000  0.389
Cr  0.608  0.500  0.183
Hg  0.983  0.500  0.703



(11)
Computed, not measured: a geometry-optimized BeCrHg2 structure at the PBE level of DFT.

Values from the calculation:
M_tot = 3.78 μB per formula unit
DFT total energy = -0.2159 Ry per atom
E above lowest polymorph = 126 meV/atom

Lattice parameters (Å, degrees): 4.779 4.779 5.076 107.25 107.25 40.30
Atoms (fractional coordinates):
Be  0.000  0.000  0.000
Cr  0.500  0.500  0.500
Hg  0.273  0.273  0.771
Hg  0.727  0.727  0.229



(12)
Computed, not measured: a geometry-optimized BeCrHg2 structure at the PBE level of DFT.

Values from the calculation:
M_tot = 3.02 μB per formula unit
DFT total energy = -0.2241 Ry per atom
E above lowest polymorph = 15 meV/atom

Lattice parameters (Å, degrees): 3.083 3.319 6.888 90.00 102.75 90.00
Atoms (fractional coordinates):
Be  0.000  0.000  0.000
Cr  0.561  0.500  0.123
Hg  0.195  0.000  0.396
Hg  0.866  0.500  0.724



(13)
Computed, not measured: a geometry-optimized Be3CrHg structure at the PBE level of DFT.

Values from the calculation:
M_tot = 1.49 μB per formula unit
DFT total energy = -0.2176 Ry per atom
E above lowest polymorph = 107 meV/atom

Lattice parameters (Å, degrees): 4.205 4.205 4.205 90.00 90.00 90.00
Atoms (fractional coordinates):
Be  0.000  0.000  0.500
Be  0.000  0.500  0.000
Be  0.500  0.000  0.000
Cr  0.000  0.000  0.000
Hg  0.500  0.500  0.500



(14)
Computed, not measured: a geometry-optimized Be3CrHg structure at the PBE level of DFT.

Values from the calculation:
M_tot = 4.54 μB per formula unit
DFT total energy = -0.2255 Ry per atom
E above lowest polymorph = 0 meV/atom

Lattice parameters (Å, degrees): 4.411 4.411 4.411 90.00 90.00 90.00
Atoms (fractional coordinates):
Be  0.000  0.000  0.500
Be  0.000  0.500  0.000
Be  0.500  0.000  0.000
Cr  0.500  0.500  0.500
Hg  0.000  0.000  0.000



(15)
Computed, not measured: a geometry-optimized Be4CrHg structure at the PBE level of DFT.

Values from the calculation:
M_tot = 3.60 μB per formula unit
DFT total energy = -0.2886 Ry per atom

Lattice parameters (Å, degrees): 4.559 4.559 4.559 60.00 60.00 60.00
Atoms (fractional coordinates):
Be  0.378  0.378  0.378
Be  0.378  0.378  0.866
Be  0.378  0.866  0.378
Be  0.866  0.378  0.378
Cr  0.750  0.750  0.750
Hg  0.000  0.000  0.000



(16)
Computed, not measured: a geometry-optimized BeCr2Hg structure at the PBE level of DFT.

Values from the calculation:
M_tot = 0.00 μB per formula unit
DFT total energy = -0.3994 Ry per atom
E above lowest polymorph = 89 meV/atom

Lattice parameters (Å, degrees): 3.054 3.054 5.732 90.00 90.00 90.00
Atoms (fractional coordinates):
Be  0.000  0.000  0.000
Cr  0.500  0.500  0.174
Cr  0.500  0.500  0.826
Hg  0.000  0.000  0.500



(17)
Computed, not measured: a geometry-optimized BeCrHg2 structure at the PBE level of DFT.

Values from the calculation:
M_tot = 3.41 μB per formula unit
DFT total energy = -0.2178 Ry per atom
E above lowest polymorph = 100 meV/atom

Lattice parameters (Å, degrees): 4.261 4.261 3.770 90.00 90.00 90.00
Atoms (fractional coordinates):
Be  0.000  0.000  0.000
Cr  0.500  0.500  0.000
Hg  0.000  0.500  0.500
Hg  0.500  0.000  0.500



(18)
Computed, not measured: a geometry-optimized BeCrHg4 structure at the PBE level of DFT.

Values from the calculation:
M_tot = 4.66 μB per formula unit
DFT total energy = -0.1178 Ry per atom

Lattice parameters (Å, degrees): 5.782 5.782 5.782 60.00 60.00 60.00
Atoms (fractional coordinates):
Be  0.000  0.000  0.000
Cr  0.750  0.750  0.750
Hg  0.375  0.375  0.375
Hg  0.375  0.375  0.875
Hg  0.375  0.875  0.375
Hg  0.875  0.375  0.375



(19)
Computed, not measured: a geometry-optimized BeCr2Hg structure at the PBE level of DFT.

Values from the calculation:
M_tot = 0.28 μB per formula unit
DFT total energy = -0.3939 Ry per atom
E above lowest polymorph = 164 meV/atom

Lattice parameters (Å, degrees): 2.717 3.850 5.182 90.00 94.86 90.00
Atoms (fractional coordinates):
Be  0.000  0.000  0.000
Cr  0.447  0.500  0.190
Cr  0.553  0.500  0.810
Hg  0.000  0.000  0.500



(20)
Computed, not measured: a geometry-optimized MnBeCr2Hg structure at the PBE level of DFT.

Values from the calculation:
M_tot = 4.02 μB per formula unit
DFT total energy = -0.3839 Ry per atom

Lattice parameters (Å, degrees): 4.290 4.290 4.968 90.00 90.00 90.00
Atoms (fractional coordinates):
Mn  0.000  0.000  0.000
Be  0.500  0.500  0.500
Cr  0.000  0.500  0.000
Cr  0.500  0.000  0.000
Hg  0.000  0.000  0.500